Material: BaZnCr
Method: DFT, PBE-GGA
State: relaxed

* DFT total energy: -0.2695 Ry per atom
* calculated volume: 32.7 Å³/atom
* formation energy: 0.607 eV per atom

a = 7.322 Å, b = 7.322 Å, c = 7.322 Å
α = 90.00°, β = 90.00°, γ = 90.00°
Space group F-43m (No. 216)
Symmetry-distinct sites (fractional):
Ba: 0.000 0.000 0.000 [4 per cell]
Zn: 0.250 0.250 0.250 [4 per cell]
Cr: 0.000 0.000 0.500 [4 per cell]


Material: CuO
Method: DFT, PBE-GGA
State: relaxed

* DFT total energy: -0.3635 Ry per atom
* calculated volume: 12.1 Å³/atom
* formation energy from raw total energies: -418 meV per atom

a = 5.647 Å, b = 5.647 Å, c = 3.040 Å
α = 90.00°, β = 90.00°, γ = 90.00°
Space group P4_2/mnm (No. 136)
Symmetry-distinct sites (fractional):
Cu: 0.181 0.181 0.000 [4 per cell]
O: 0.172 0.828 0.000 [4 per cell]